Computed, not measured: an optimized crystal structure of Sb3WO at the GGA+U level of DFT.

Results
Its total energy is -3.828 eV per atom. The calculation puts the volume at 140.01 Å³/cell. Its total magnetic moment is 0.00 μB/cell. Its crystal system is cubic.

abc: 5.1926 5.1926 5.1926
angles: 90.00 90.00 90.00
Closest atoms and distances in Å follow each position.
Fractional coordinates of all 5 atoms:
Sb 0.0000 0.5000 0.0000  2 W 2.60
Sb 0.0000 0.0000 0.5000  2 W 2.60
Sb 0.5000 0.0000 0.0000  2 W 2.60
O 0.5000 0.5000 0.5000  12 Sb 3.67
W 0.0000 0.0000 0.0000  6 Sb 2.60